{"formula": "Cu2S", "functional": "PBE-GGA", "state": "optimized geometry", "lattice_angstrom": [[0.0000, 3.4676, 3.4676], [3.4676, 0.0000, 3.4676], [3.4676, 3.4676, 0.0000]], "species": ["Cu", "Cu", "Cu", "Cu", "S", "S"], "fractional_positions": [[0.0000, 0.0000, 0.0000], [0.0000, 0.0000, 0.5000], [0.0000, 0.5000, 0.0000], [0.5000, 0.0000, 0.0000], [0.3750, 0.3750, 0.3750], [0.6250, 0.6250, 0.6250]], "dft_energy_ev_per_atom": -3.41, "spacegroup": "Fd-3m, No. 227"}